--- 1 ---
Entry from Alexandria: an optimized crystal structure of ErLuIr (GGA-PBE).

a b c (Å): 4.736 4.736 4.736
angles (deg): 60.00 60.00 60.00
Element x y z (fractional)
1 Ir 0.250 0.250 0.250
2 Lu 0.000 0.000 0.000
3 Er 0.500 0.500 0.500

Results
N(E_F): 2.6 states/eV per cell
Total magnetization: 0.00 μB per atom
Calculated density: 11812 kg/m3



--- 2 ---
Entry from Alexandria: an optimized crystal structure of ErLuIr (GGA-PBE).

a b c (Å): 3.406 3.406 6.698
angles (deg): 104.73 104.73 90.00
Element x y z (fractional)
1 Lu 0.296 0.296 0.591
2 Er 0.036 0.036 0.072
3 Ir 0.668 0.668 0.336

Results
N(E_F): 3.2 states/eV per cell
Total magnetization: 0.00 μB per atom
Calculated density: 12238 kg/m3



Which of them is most stable? Easy: 1.